# AcDy2Mg9 (PBE-GGA, relaxed)
# E_tot: -85.51 eV/cell
# N(E_F): 11.393 states/eV/f.u.
# V: 959 Å³ per cell
data_AcDy2Mg9
_chemical_formula_sum 'Ac3 Dy6 Mg27'
_symmetry_space_group_name_H-M 'R -3 m'
_symmetry_Int_Tables_number 166
_symmetry_space_group_name_Hall '-R 3 2"'
_cell_length_a 6.1235
_cell_length_b 6.1235
_cell_length_c 29.5438
_cell_angle_alpha 90.00
_cell_angle_beta 90.00
_cell_angle_gamma 120.00
loop_
_atom_site_label
_atom_site_type_symbol
_atom_site_fract_x
_atom_site_fract_y
_atom_site_fract_z
Ac1 Ac 0.0000 0.0000 0.0000
Dy1 Dy 0.0000 0.0000 0.1461
Mg1 Mg 0.0000 0.0000 0.3342
Mg2 Mg 0.0000 0.0000 0.5000
Mg3 Mg 0.0058 0.5029 0.9145